Run one
Material: NaLi2Mn
Method: DFT, PBE
State: relaxed

POSCAR file:
```
NaLi2Mn
1.0
0.0000 3.4770 3.4770
3.4770 0.0000 3.4770
3.4770 3.4770 0.0000
Na Li Mn
1 2 1
direct
0.0000 0.0000 0.0000
0.2500 0.2500 0.2500
0.7500 0.7500 0.7500
0.5000 0.5000 0.5000
```

As for the symmetry: Fm-3m. As for the density of states at the Fermi level: 0.944 states/eV per atom.



Run two
Material: NaLi2Mn
Method: DFT, PBE
State: relaxed

POSCAR file:
```
NaLi2Mn
1.0
-3.7734 3.7734 3.0200
3.7734 -3.7734 3.0200
3.7734 3.7734 -3.0200
Na Li Mn
2 4 2
direct
0.0000 0.0000 0.0000
0.7500 0.2500 0.5000
0.1378 0.6250 0.0128
0.3750 0.3878 0.5128
0.6122 0.1250 0.9872
0.8750 0.8622 0.4872
0.2500 0.7500 0.5000
0.5000 0.5000 0.0000
```

As for the symmetry: I-42d. As for the density of states at the Fermi level: 0.681 states/eV per atom.



Result of the stability comparison: run two is the least stable of them.



Run one
Material: NaLiMn2
Method: DFT, PBE
State: relaxed

POSCAR file:
```
NaLiMn2
1.0
0.0000 3.3752 3.3752
3.3752 0.0000 3.3752
3.3752 3.3752 0.0000
Na Li Mn
1 1 2
direct
0.0000 0.0000 0.0000
0.5000 0.5000 0.5000
0.2500 0.2500 0.2500
0.7500 0.7500 0.7500
```

As for the symmetry: Fm-3m. As for the density of states at the Fermi level: 0.792 states/eV per atom.



Run two
Material: NaLiMn2
Method: DFT, PBE
State: relaxed

POSCAR file:
```
NaLiMn2
1.0
-1.6620 1.6620 10.1063
1.6620 -1.6620 10.1063
1.6620 1.6620 -10.1063
Na Li Mn
2 2 4
direct
0.0000 0.0000 0.0000
0.7500 0.2500 0.5000
0.2500 0.7500 0.5000
0.5000 0.5000 0.0000
0.1581 0.1250 0.5331
0.3750 0.8419 0.9669
0.5919 0.6250 0.4669
0.8750 0.4081 0.0331
```

As for the symmetry: I-42d. As for the density of states at the Fermi level: 1.133 states/eV per atom.



Result of the stability comparison: run two is the least stable of them.



Run one
Material: Na2LiMnRh
Method: DFT, PBE
State: relaxed

POSCAR file:
```
Na2LiMnRh
1.0
4.4108 0.0000 0.0000
0.0000 4.4108 0.0000
0.0000 0.0000 4.8451
Na Li Mn Rh
2 1 1 1
direct
0.0000 0.5000 0.0000
0.5000 0.0000 0.0000
0.0000 0.0000 0.0000
0.0000 0.0000 0.5000
0.5000 0.5000 0.5000
```

As for the symmetry: P4/mmm. As for the density of states at the Fermi level: 0.626 states/eV per atom.



Run two
Material: Na2LiMnRh
Method: DFT, PBE
State: relaxed

POSCAR file:
```
Na2LiMnRh
1.0
4.6098 0.0000 0.0000
0.0000 4.6098 0.0000
0.0000 0.0000 4.5645
Na Li Mn Rh
2 1 1 1
direct
0.0000 0.5000 0.0000
0.5000 0.0000 0.0000
0.0000 0.0000 0.0000
0.5000 0.5000 0.5000
0.0000 0.0000 0.5000
```

As for the symmetry: P4/mmm. As for the density of states at the Fermi level: 0.410 states/eV per atom.



Result of the stability comparison: run one is the least stable of them.